This record from Alexandria via LeMat-Bulk describes an optimized crystal structure of PtN2. The functional is PBE-GGA.

## Properties
formation energy (no corrections) = 912 meV per atom
calculated total energy = -6.652 eV per atom

a = 3.2283 Å, b = 3.2283 Å, c = 7.7958 Å
α = 90.00°, β = 90.00°, γ = 120.00°
Last column: nearest neighbours and their distance in Å.
Sites, in units of the cell vectors:
1 Pt 0.3333 0.6667 0.2500  6 N 2.30
2 Pt 0.6667 0.3333 0.7500  6 N 2.30
3 N 0.0000 0.0000 0.0769  1 N 1.20
4 N 0.0000 0.0000 0.4231  1 N 1.20
5 N 0.0000 0.0000 0.5769  1 N 1.20
6 N 0.0000 0.0000 0.9231  1 N 1.20

***

This record from Alexandria via LeMat-Bulk describes an optimized crystal structure of Pt4N. The functional is PBE-GGA.

## Properties
formation energy (no corrections) = 582 meV per atom
calculated total energy = -5.916 eV per atom

a = 4.1759 Å, b = 4.1759 Å, c = 4.1759 Å
α = 90.00°, β = 90.00°, γ = 90.00°
Last column: nearest neighbours and their distance in Å.
Sites, in units of the cell vectors:
1 Pt 0.0000 0.0000 0.0000  12 Pt 2.95
2 Pt 0.0000 0.5000 0.5000  2 N 2.09
3 Pt 0.5000 0.0000 0.5000  2 N 2.09
4 Pt 0.5000 0.5000 0.0000  2 N 2.09
5 N 0.5000 0.5000 0.5000  6 Pt 2.09

***

This record from Alexandria via LeMat-Bulk describes an optimized crystal structure of Pu3PtN. The functional is PBE-GGA.

## Properties
formation energy (no corrections) = -645 meV per atom
calculated total energy = -12.117 eV per atom

a = 4.7294 Å, b = 4.7294 Å, c = 4.7294 Å
α = 90.00°, β = 90.00°, γ = 90.00°
Last column: nearest neighbours and their distance in Å.
Sites, in units of the cell vectors:
1 Pu 0.0000 0.0000 0.5000  2 N 2.36
2 Pu 0.0000 0.5000 0.0000  2 N 2.36
3 Pu 0.5000 0.0000 0.0000  2 N 2.36
4 Pt 0.5000 0.5000 0.5000  12 Pu 3.34
5 N 0.0000 0.0000 0.0000  6 Pu 2.36

***

This record from Alexandria via LeMat-Bulk describes an optimized crystal structure of Pu8Pt5N. The functional is PBE-GGA.

## Properties
formation energy (no corrections) = -653 meV per atom
calculated total energy = -11.594 eV per atom

a = 7.4622 Å, b = 7.4622 Å, c = 7.4622 Å
α = 111.15°, β = 111.15°, γ = 106.16°
Last column: nearest neighbours and their distance in Å.
Sites, in units of the cell vectors:
1 Pu 0.0050 0.3925 0.2448  4 Pt 2.82-3.01
2 Pu 0.0612 0.2254 0.7134  1 N 2.40
3 Pu 0.1477 0.7602 0.7552  4 Pt 2.82-3.01
4 Pu 0.2398 0.9950 0.3875  4 Pt 2.82-3.01
5 Pu 0.5120 0.3478 0.2866  1 N 2.40
6 Pu 0.6075 0.8523 0.6125  4 Pt 2.82-3.01
7 Pu 0.6522 0.9388 0.1643  1 N 2.40
8 Pu 0.7746 0.4880 0.8357  1 N 2.40
9 Pt 0.0000 0.0000 0.0000  4 Pu 2.82
10 Pt 0.2758 0.6270 0.1216  6 Pu 2.84-3.16
11 Pt 0.3730 0.4946 0.6488  6 Pu 2.84-3.16
12 Pt 0.5054 0.1542 0.8784  6 Pu 2.84-3.16
13 Pt 0.8458 0.7242 0.3512  6 Pu 2.84-3.16
14 N 0.7500 0.2500 0.5000  4 Pu 2.40

***

This record from Alexandria via LeMat-Bulk describes an optimized crystal structure of PuPtN. The functional is PBE-GGA.

## Properties
formation energy (no corrections) = -854 meV per atom
calculated total energy = -10.420 eV per atom

a = 3.4447 Å, b = 3.4447 Å, c = 7.6963 Å
α = 90.00°, β = 90.00°, γ = 90.00°
Last column: nearest neighbours and their distance in Å.
Sites, in units of the cell vectors:
1 Pu 0.2500 0.2500 0.1721  5 N 2.28-2.46
2 Pu 0.7500 0.7500 0.8279  5 N 2.28-2.46
3 Pt 0.2500 0.2500 0.5852  1 N 2.24
4 Pt 0.7500 0.7500 0.4148  1 N 2.24
5 N 0.2500 0.2500 0.8759  1 Pt 2.24, 5 Pu 2.28-2.46
6 N 0.7500 0.7500 0.1241  1 Pt 2.24, 5 Pu 2.28-2.46

***

This record from Alexandria via LeMat-Bulk describes an optimized crystal structure of Pu6Pt3N. The functional is PBE-GGA.

## Properties
formation energy (no corrections) = -407 meV per atom
calculated total energy = -11.650 eV per atom

a = 5.3352 Å, b = 9.7715 Å, c = 7.4471 Å
α = 90.00°, β = 98.77°, γ = 90.00°
Last column: nearest neighbours and their distance in Å.
Sites, in units of the cell vectors:
1 Pu 0.0324 0.1471 0.4767  2 Pu 2.44-2.45
2 Pu 0.0324 0.3529 0.9767  2 Pu 2.44-2.45
3 Pu 0.2461 0.1684 0.1642  1 N 2.33, 1 Pu 2.45
4 Pu 0.2461 0.3316 0.6642  1 N 2.33, 1 Pu 2.45
5 Pu 0.2557 0.6738 0.6592  1 N 2.38, 1 Pu 2.44
6 Pu 0.2557 0.8262 0.1592  1 N 2.38, 1 Pu 2.44
7 Pu 0.7443 0.1738 0.8408  1 N 2.38, 1 Pu 2.44
8 Pu 0.7443 0.3262 0.3408  1 N 2.38, 1 Pu 2.44
9 Pu 0.7539 0.6684 0.3358  1 N 2.33, 1 Pu 2.45
10 Pu 0.7539 0.8316 0.8358  1 N 2.33, 1 Pu 2.45
11 Pu 0.9676 0.6471 0.0233  2 Pu 2.44-2.45
12 Pu 0.9676 0.8529 0.5233  2 Pu 2.44-2.45
13 Pt 0.2908 0.0027 0.8124  1 N 2.24
14 Pt 0.2908 0.4973 0.3124  1 N 2.24
15 Pt 0.5000 0.0000 0.5000  2 Pt 2.73, 2 Pu 2.86
16 Pt 0.5000 0.5000 0.0000  2 Pt 2.73, 2 Pu 2.86
17 Pt 0.7092 0.5027 0.6876  1 N 2.24
18 Pt 0.7092 0.9973 0.1876  1 N 2.24
19 N 0.0000 0.0000 0.0000  2 Pt 2.24, 4 Pu 2.33-2.38
20 N 0.0000 0.5000 0.5000  2 Pt 2.24, 4 Pu 2.33-2.38

***

This record from Alexandria via LeMat-Bulk describes an optimized crystal structure of Pu6Pt2N. The functional is PBE-GGA.

## Properties
formation energy (no corrections) = -501 meV per atom
calculated total energy = -12.323 eV per atom

a = 6.0872 Å, b = 7.1187 Å, c = 10.9832 Å
α = 90.00°, β = 119.21°, γ = 90.00°
Last column: nearest neighbours and their distance in Å.
Sites, in units of the cell vectors:
1 Pu 0.1219 0.0076 0.2457  1 N 2.43
2 Pu 0.1219 0.4924 0.7457  1 N 2.43
3 Pu 0.2002 0.6802 0.0452  1 N 2.51
4 Pu 0.2002 0.8198 0.5452  1 N 2.51
5 Pu 0.3768 0.1540 0.0461  1 N 2.36
6 Pu 0.3768 0.3460 0.5461  1 N 2.36
7 Pu 0.6232 0.6540 0.4539  1 N 2.36
8 Pu 0.6232 0.8460 0.9539  1 N 2.36
9 Pu 0.7998 0.1802 0.4548  1 N 2.51
10 Pu 0.7998 0.3198 0.9548  1 N 2.51
11 Pu 0.8781 0.5076 0.2543  1 N 2.43
12 Pu 0.8781 0.9924 0.7543  1 N 2.43
13 Pt 0.3362 0.1232 0.7482  7 Pu 2.84-3.17
14 Pt 0.3362 0.3768 0.2482  7 Pu 2.84-3.17
15 Pt 0.6638 0.6232 0.7518  7 Pu 2.84-3.17
16 Pt 0.6638 0.8768 0.2518  7 Pu 2.84-3.17
17 N 0.0000 0.0000 0.0000  6 Pu 2.36-2.51
18 N 0.0000 0.5000 0.5000  6 Pu 2.36-2.51

***

This record from Alexandria via LeMat-Bulk describes an optimized crystal structure of SmPu2PtN4. The functional is PBE-GGA.

## Properties
formation energy (no corrections) = -913 meV per atom
calculated total energy = -10.003 eV per atom

a = 6.1146 Å, b = 6.1146 Å, c = 11.7388 Å
α = 90.00°, β = 90.00°, γ = 145.47°
Last column: nearest neighbours and their distance in Å.
Sites, in units of the cell vectors:
1 Sm 0.0635 0.9365 0.7500  2 N 2.32
2 Sm 0.9365 0.0635 0.2500  2 N 2.32
3 Pu 0.3674 0.6326 0.5606  4 N 2.16-2.38
4 Pu 0.3674 0.6326 0.9394  4 N 2.16-2.38
5 Pu 0.6326 0.3674 0.0606  4 N 2.16-2.38
6 Pu 0.6326 0.3674 0.4394  4 N 2.16-2.38
7 Pt 0.2314 0.7686 0.2500  2 N 1.98
8 Pt 0.7686 0.2314 0.7500  2 N 1.98
9 N 0.0000 0.0000 0.0000  4 Pu 2.49
10 N 0.0000 0.0000 0.5000  4 Pu 2.49
11 N 0.2510 0.7490 0.0829  1 Pt 1.98, 1 Pu 2.16
12 N 0.2510 0.7490 0.4171  1 Pt 1.98, 1 Pu 2.16
13 N 0.4403 0.5597 0.7500  2 Sm 2.32, 2 Pu 2.38
14 N 0.5597 0.4403 0.2500  2 Sm 2.32, 2 Pu 2.38
15 N 0.7490 0.2510 0.5829  1 Pt 1.98, 1 Pu 2.16
16 N 0.7490 0.2510 0.9171  1 Pt 1.98, 1 Pu 2.16

***

This record from Alexandria via LeMat-Bulk describes an optimized crystal structure of SrPu2PtN4. The functional is PBE-GGA.

## Properties
formation energy (no corrections) = -767 meV per atom
calculated total energy = -9.478 eV per atom

a = 6.1107 Å, b = 6.1107 Å, c = 11.8818 Å
α = 90.00°, β = 90.00°, γ = 145.58°
Last column: nearest neighbours and their distance in Å.
Sites, in units of the cell vectors:
1 Sr 0.0726 0.9274 0.7500  2 N 2.57
2 Sr 0.9274 0.0726 0.2500  2 N 2.57
3 Pu 0.3677 0.6323 0.5586  4 N 2.20-2.34
4 Pu 0.3677 0.6323 0.9414  4 N 2.20-2.34
5 Pu 0.6323 0.3677 0.0586  4 N 2.20-2.34
6 Pu 0.6323 0.3677 0.4414  4 N 2.20-2.34
7 Pt 0.2100 0.7900 0.2500  2 N 2.01
8 Pt 0.7900 0.2100 0.7500  2 N 2.01
9 N 0.0000 0.0000 0.0000  4 Pu 2.48
10 N 0.0000 0.0000 0.5000  4 Pu 2.48
11 N 0.2494 0.7506 0.0854  1 Pt 2.01, 1 Pu 2.20
12 N 0.2494 0.7506 0.4146  1 Pt 2.01, 1 Pu 2.20
13 N 0.4165 0.5835 0.7500  2 Pt 2.33, 2 Pu 2.34, 2 Sr 2.57
14 N 0.5835 0.4165 0.2500  2 Pt 2.33, 2 Pu 2.34, 2 Sr 2.57
15 N 0.7506 0.2494 0.5854  1 Pt 2.01, 1 Pu 2.20
16 N 0.7506 0.2494 0.9146  1 Pt 2.01, 1 Pu 2.20

***

This record from Alexandria via LeMat-Bulk describes an optimized crystal structure of PuTh2PtN5. The functional is PBE-GGA.

## Properties
formation energy (no corrections) = -944 meV per atom
calculated total energy = -9.482 eV per atom

a = 6.9519 Å, b = 6.9519 Å, c = 10.8063 Å
α = 90.00°, β = 90.00°, γ = 150.55°
Last column: nearest neighbours and their distance in Å.
Sites, in units of the cell vectors:
1 Pu 0.2043 0.7957 0.5000  2 N 2.07-2.20
2 Pu 0.7957 0.2043 0.0000  2 N 2.07-2.20
3 Th 0.0994 0.9006 0.1754  4 N 2.37-2.52
4 Th 0.1444 0.8556 0.7892  6 N 2.47-2.69
5 Th 0.8556 0.1444 0.2892  6 N 2.47-2.69
6 Th 0.9006 0.0994 0.6754  4 N 2.37-2.52
7 Pt 0.4771 0.5229 0.9362  5 N 2.05-2.30
8 Pt 0.5229 0.4771 0.4362  5 N 2.05-2.30
9 N 0.0594 0.9406 0.5642  1 Pu 2.07, 2 Pt 2.30
10 N 0.2746 0.7254 0.1486  3 Th 2.37-2.57, 2 Pu 2.40
11 N 0.3288 0.6712 0.8595  1 Pt 2.16, 2 Pu 2.37
12 N 0.3672 0.6328 0.4865  1 Pt 2.16, 1 Pu 2.20
13 N 0.4812 0.5188 0.2536  1 Pt 2.05
14 N 0.5188 0.4812 0.7536  1 Pt 2.05
15 N 0.6328 0.3672 0.9865  1 Pt 2.16, 1 Pu 2.20
16 N 0.6712 0.3288 0.3595  1 Pt 2.16, 2 Pu 2.37
17 N 0.7254 0.2746 0.6486  3 Th 2.37-2.57, 2 Pu 2.40
18 N 0.9406 0.0594 0.0642  1 Pu 2.07, 2 Pt 2.30

***

This record from Alexandria via LeMat-Bulk describes an optimized crystal structure of PuThPtN. The functional is PBE-GGA.

## Properties
formation energy (no corrections) = -979 meV per atom
calculated total energy = -10.009 eV per atom

a = 4.3176 Å, b = 4.3176 Å, c = 9.2629 Å
α = 90.00°, β = 90.00°, γ = 90.00°
Last column: nearest neighbours and their distance in Å.
Sites, in units of the cell vectors:
1 Pu 0.2500 0.7500 0.0000  4 Pt 2.89, 4 Pu 3.05
2 Pu 0.7500 0.2500 0.0000  4 Pt 2.89, 4 Pu 3.05
3 Th 0.2500 0.2500 0.3868  4 N 2.40
4 Th 0.7500 0.7500 0.6132  4 N 2.40
5 Pt 0.2500 0.2500 0.7928  4 Pu 2.89
6 Pt 0.7500 0.7500 0.2072  4 Pu 2.89
7 N 0.2500 0.7500 0.5000  4 Th 2.40
8 N 0.7500 0.2500 0.5000  4 Th 2.40

***

This record from Alexandria via LeMat-Bulk describes an optimized crystal structure of Rb2PtN. The functional is PBE-GGA.

## Properties
formation energy (no corrections) = -121 meV per atom
calculated total energy = -4.196 eV per atom

a = 8.9893 Å, b = 8.9893 Å, c = 8.9893 Å
α = 92.53°, β = 92.53°, γ = 155.75°
Last column: nearest neighbours and their distance in Å.
Sites, in units of the cell vectors:
1 Rb 0.3750 0.1093 0.2343  2 N 3.15, 2 Pt 3.42
2 Rb 0.8593 0.6250 0.7343  2 N 3.15, 2 Pt 3.42
3 Rb 0.8750 0.1407 0.7657  2 N 3.15, 2 Pt 3.42
4 Rb 0.8907 0.1250 0.2657  2 N 3.15, 2 Pt 3.42
5 Pt 0.2500 0.7500 0.5000  2 N 1.89
6 Pt 0.5000 0.5000 0.0000  2 N 1.89
7 N 0.0000 0.0000 0.0000  2 Pt 1.89
8 N 0.7500 0.2500 0.5000  2 Pt 1.89